VASP calculation (meta-GGA SCAN) on TlFe2SBr at its PBEsol-relaxed geometry.

Results
SG: No. 123
Uncorrected energy, eV per cell: -136.910
Spin magnetization, μB per cell: 6.012

Geometry as POSCAR:
```
TlFe2SBr
1.0
4.2589 0.0000 0.0000
0.0000 4.2589 0.0000
0.0000 0.0000 6.9000
Fe Br S Tl
2 1 1 1
direct
0.5000 0.0000 0.0000
0.0000 0.5000 0.0000
0.0000 0.0000 0.5000
0.0000 0.0000 0.0000
0.5000 0.5000 0.5000
```